# PBE Na2SmZr2Se6, relaxed
data_Na2SmZr2Se6
_chemical_formula_sum 'Na2 Sm1 Zr2 Se6'
_cell_length_a 6.872
_cell_length_b 6.872
_cell_length_c 7.519
_cell_angle_alpha 98.49
_cell_angle_beta 98.49
_cell_angle_gamma 120.51
_space_group_name_H-M_alt 'P 1'
_space_group_IT_number 1
_space_group_name_Hall 'P 1'
loop_
_atom_site_label
_atom_site_type_symbol
_atom_site_fract_x
_atom_site_fract_y
_atom_site_fract_z
_atom_site_occupancy
Na1 Na 0.161 0.839 0.000 1
Na2 Na 0.839 0.161 0.000 1
Sm1 Sm 0.000 0.000 0.500 1
Zr1 Zr 0.333 0.667 0.500 1
Zr2 Zr 0.667 0.333 0.500 1
Se1 Se 0.072 0.424 0.725 1
Se2 Se 0.281 0.281 0.274 1
Se3 Se 0.424 0.072 0.725 1
Se4 Se 0.576 0.928 0.275 1
Se5 Se 0.719 0.719 0.726 1
Se6 Se 0.928 0.576 0.275 1
# Uncorrected energy, eV per cell: -61.25
# Crystal system: monoclinic
# SG: C2/m
# Formation energy (no corrections), eV/atom: -1.4441

---

# PBE NaSn3Se4, relaxed
data_NaSn3Se4
_chemical_formula_sum 'Na1 Sn3 Se4'
_cell_length_a 7.335
_cell_length_b 7.335
_cell_length_c 4.169
_cell_angle_alpha 90.00
_cell_angle_beta 90.00
_cell_angle_gamma 108.80
_space_group_name_H-M_alt 'P 1'
_space_group_IT_number 1
_space_group_name_Hall 'P 1'
loop_
_atom_site_label
_atom_site_type_symbol
_atom_site_fract_x
_atom_site_fract_y
_atom_site_fract_z
_atom_site_occupancy
Na1 Na 0.000 0.000 0.000 1
Sn1 Sn 0.000 0.500 0.500 1
Sn2 Sn 0.500 0.000 0.500 1
Sn3 Sn 0.500 0.500 0.000 1
Se1 Se 0.250 0.750 0.000 1
Se2 Se 0.255 0.255 0.500 1
Se3 Se 0.745 0.745 0.500 1
Se4 Se 0.750 0.250 0.000 1
# Uncorrected energy, eV per cell: -31.73
# Excess energy over the best structure of this formula in the dataset, kJ per mole of atoms: 1.3
# Crystal system: orthorhombic
# SG: Cmmm
# Formation energy (no corrections), eV/atom: -0.5583

---

# PBE Na4SnSe4, relaxed
data_Na4SnSe4
_chemical_formula_sum 'Na4 Sn1 Se4'
_cell_length_a 7.754
_cell_length_b 7.754
_cell_length_c 7.754
_cell_angle_alpha 125.96
_cell_angle_beta 125.96
_cell_angle_gamma 79.95
_space_group_name_H-M_alt 'P 1'
_space_group_IT_number 1
_space_group_name_Hall 'P 1'
loop_
_atom_site_label
_atom_site_type_symbol
_atom_site_fract_x
_atom_site_fract_y
_atom_site_fract_z
_atom_site_occupancy
Na1 Na 0.000 0.500 0.500 1
Na2 Na 0.199 0.199 0.000 1
Na3 Na 0.500 0.000 0.500 1
Na4 Na 0.801 0.801 0.000 1
Sn1 Sn 0.500 0.500 0.000 1
Se1 Se 0.165 0.581 0.000 1
Se2 Se 0.419 0.419 0.584 1
Se3 Se 0.581 0.165 0.000 1
Se4 Se 0.835 0.835 0.416 1
# Uncorrected energy, eV per cell: -31.01
# Crystal system: tetragonal
# SG: I-42m
# Formation energy (no corrections), eV/atom: -0.8663

---

# PBE Na2Sn2Se3, relaxed
data_Na2Sn2Se3
_chemical_formula_sum 'Na4 Sn4 Se6'
_cell_length_a 7.873
_cell_length_b 8.405
_cell_length_c 7.722
_cell_angle_alpha 90.00
_cell_angle_beta 118.92
_cell_angle_gamma 90.00
_space_group_name_H-M_alt 'P 1'
_space_group_IT_number 1
_space_group_name_Hall 'P 1'
loop_
_atom_site_label
_atom_site_type_symbol
_atom_site_fract_x
_atom_site_fract_y
_atom_site_fract_z
_atom_site_occupancy
Na1 Na 0.123 0.117 0.219 1
Na2 Na 0.123 0.383 0.719 1
Na3 Na 0.877 0.617 0.281 1
Na4 Na 0.877 0.883 0.781 1
Sn1 Sn 0.428 0.665 0.295 1
Sn2 Sn 0.428 0.835 0.795 1
Sn3 Sn 0.572 0.165 0.205 1
Sn4 Sn 0.572 0.335 0.705 1
Se1 Se 0.225 0.069 0.893 1
Se2 Se 0.225 0.431 0.393 1
Se3 Se 0.500 0.000 0.500 1
Se4 Se 0.500 0.500 0.000 1
Se5 Se 0.775 0.569 0.607 1
Se6 Se 0.775 0.931 0.107 1
# Uncorrected energy, eV per cell: -51.27
# Excess energy over the best structure of this formula in the dataset, kJ per mole of atoms: 2.7
# Crystal system: monoclinic
# SG: P2_1/c
# Formation energy (no corrections), eV/atom: -0.6481

---

# PBE Na2SnSe3, relaxed
data_Na2SnSe3
_chemical_formula_sum 'Na8 Sn4 Se12'
_cell_length_a 7.389
_cell_length_b 16.534
_cell_length_c 6.258
_cell_angle_alpha 90.00
_cell_angle_beta 112.79
_cell_angle_gamma 90.00
_space_group_name_H-M_alt 'P 1'
_space_group_IT_number 1
_space_group_name_Hall 'P 1'
loop_
_atom_site_label
_atom_site_type_symbol
_atom_site_fract_x
_atom_site_fract_y
_atom_site_fract_z
_atom_site_occupancy
Na1 Na 0.039 0.168 0.008 1
Na2 Na 0.039 0.332 0.508 1
Na3 Na 0.270 0.526 0.174 1
Na4 Na 0.270 0.974 0.674 1
Na5 Na 0.730 0.026 0.326 1
Na6 Na 0.730 0.474 0.826 1
Na7 Na 0.961 0.668 0.492 1
Na8 Na 0.961 0.832 0.992 1
Sn1 Sn 0.444 0.168 0.627 1
Sn2 Sn 0.444 0.332 0.127 1
Sn3 Sn 0.556 0.668 0.873 1
Sn4 Sn 0.556 0.832 0.373 1
Se1 Se 0.083 0.143 0.534 1
Se2 Se 0.083 0.357 0.034 1
Se3 Se 0.312 0.558 0.677 1
Se4 Se 0.312 0.942 0.177 1
Se5 Se 0.499 0.180 0.240 1
Se6 Se 0.499 0.320 0.740 1
Se7 Se 0.501 0.680 0.260 1
Se8 Se 0.501 0.820 0.760 1
Se9 Se 0.688 0.058 0.823 1
Se10 Se 0.688 0.442 0.323 1
Se11 Se 0.917 0.643 0.966 1
Se12 Se 0.917 0.857 0.466 1
# Uncorrected energy, eV per cell: -87.12
# Crystal system: monoclinic
# SG: P2_1/c
# Formation energy (no corrections), eV/atom: -0.7810

---

# PBE Na3SnSe, relaxed
data_Na3SnSe
_chemical_formula_sum 'Na3 Sn1 Se1'
_cell_length_a 5.474
_cell_length_b 5.474
_cell_length_c 5.474
_cell_angle_alpha 90.00
_cell_angle_beta 90.00
_cell_angle_gamma 90.00
_space_group_name_H-M_alt 'P 1'
_space_group_IT_number 1
_space_group_name_Hall 'P 1'
loop_
_atom_site_label
_atom_site_type_symbol
_atom_site_fract_x
_atom_site_fract_y
_atom_site_fract_z
_atom_site_occupancy
Na1 Na 0.000 0.000 0.500 1
Na2 Na 0.000 0.500 0.000 1
Na3 Na 0.500 0.000 0.000 1
Sn1 Sn 0.500 0.500 0.500 1
Se1 Se 0.000 0.000 0.000 1
# Uncorrected energy, eV per cell: -13.00
# Excess energy over the best structure of this formula in the dataset, kJ per mole of atoms: 0.0
# Crystal system: cubic
# SG: Pm-3m
# Formation energy (no corrections), eV/atom: -0.3118

---

# PBE Na3SnSe2, relaxed
data_Na3SnSe2
_chemical_formula_sum 'Na6 Sn2 Se4'
_cell_length_a 8.648
_cell_length_b 8.648
_cell_length_c 8.648
_cell_angle_alpha 130.67
_cell_angle_beta 69.32
_cell_angle_gamma 134.54
_space_group_name_H-M_alt 'P 1'
_space_group_IT_number 1
_space_group_name_Hall 'P 1'
loop_
_atom_site_label
_atom_site_type_symbol
_atom_site_fract_x
_atom_site_fract_y
_atom_site_fract_z
_atom_site_occupancy
Na1 Na 0.018 0.750 0.268 1
Na2 Na 0.250 0.250 0.000 1
Na3 Na 0.482 0.750 0.732 1
Na4 Na 0.518 0.250 0.268 1
Na5 Na 0.750 0.750 0.000 1
Na6 Na 0.982 0.250 0.732 1
Sn1 Sn 0.000 0.500 0.500 1
Sn2 Sn 0.500 0.000 0.500 1
Se1 Se 0.139 0.210 0.348 1
Se2 Se 0.361 0.710 0.071 1
Se3 Se 0.639 0.290 0.929 1
Se4 Se 0.861 0.790 0.652 1
# Uncorrected energy, eV per cell: -38.34
# Crystal system: orthorhombic
# SG: Ibam
# Formation energy (no corrections), eV/atom: -0.7066

---

# PBE Na14Sn2Se9, relaxed
data_Na14Sn2Se9
_chemical_formula_sum 'Na14 Sn2 Se9'
_cell_length_a 8.522
_cell_length_b 8.522
_cell_length_c 11.834
_cell_angle_alpha 90.00
_cell_angle_beta 90.00
_cell_angle_gamma 120.00
_space_group_name_H-M_alt 'P 1'
_space_group_IT_number 1
_space_group_name_Hall 'P 1'
loop_
_atom_site_label
_atom_site_type_symbol
_atom_site_fract_x
_atom_site_fract_y
_atom_site_fract_z
_atom_site_occupancy
Na1 Na 0.000 0.000 0.248 1
Na2 Na 0.000 0.000 0.752 1
Na3 Na 0.025 0.677 0.408 1
Na4 Na 0.038 0.364 0.091 1
Na5 Na 0.323 0.348 0.408 1
Na6 Na 0.326 0.962 0.091 1
Na7 Na 0.348 0.025 0.592 1
Na8 Na 0.364 0.326 0.909 1
Na9 Na 0.636 0.674 0.091 1
Na10 Na 0.652 0.975 0.408 1
Na11 Na 0.674 0.038 0.909 1
Na12 Na 0.677 0.652 0.592 1
Na13 Na 0.962 0.636 0.909 1
Na14 Na 0.975 0.323 0.592 1
Sn1 Sn 0.333 0.667 0.757 1
Sn2 Sn 0.667 0.333 0.243 1
Se1 Se 0.000 0.000 0.500 1
Se2 Se 0.024 0.334 0.840 1
Se3 Se 0.310 0.976 0.840 1
Se4 Se 0.333 0.667 0.513 1
Se5 Se 0.334 0.310 0.160 1
Se6 Se 0.666 0.690 0.840 1
Se7 Se 0.667 0.333 0.487 1
Se8 Se 0.690 0.024 0.160 1
Se9 Se 0.976 0.666 0.160 1
# Uncorrected energy, eV per cell: -81.08
# Crystal system: trigonal
# SG: P-3
# Formation energy (no corrections), eV/atom: -0.9300

---

# PBE Na4Sn3Se8, relaxed
data_Na4Sn3Se8
_chemical_formula_sum 'Na4 Sn3 Se8'
_cell_length_a 8.858
_cell_length_b 8.858
_cell_length_c 8.858
_cell_angle_alpha 53.90
_cell_angle_beta 53.90
_cell_angle_gamma 53.90
_space_group_name_H-M_alt 'P 1'
_space_group_IT_number 1
_space_group_name_Hall 'P 1'
loop_
_atom_site_label
_atom_site_type_symbol
_atom_site_fract_x
_atom_site_fract_y
_atom_site_fract_z
_atom_site_occupancy
Na1 Na 0.000 0.000 0.000 1
Na2 Na 0.139 0.139 0.139 1
Na3 Na 0.500 0.500 0.500 1
Na4 Na 0.861 0.861 0.861 1
Sn1 Sn 0.000 0.500 0.500 1
Sn2 Sn 0.500 0.000 0.500 1
Sn3 Sn 0.500 0.500 0.000 1
Se1 Se 0.247 0.247 0.715 1
Se2 Se 0.247 0.715 0.247 1
Se3 Se 0.265 0.265 0.265 1
Se4 Se 0.285 0.753 0.753 1
Se5 Se 0.715 0.247 0.247 1
Se6 Se 0.735 0.735 0.735 1
Se7 Se 0.753 0.285 0.753 1
Se8 Se 0.753 0.753 0.285 1
# Uncorrected energy, eV per cell: -54.97
# Crystal system: trigonal
# SG: R-3m
# Formation energy (no corrections), eV/atom: -0.6541

---

# PBE Na3SnSe3, relaxed
data_Na3SnSe3
_chemical_formula_sum 'Na6 Sn2 Se6'
_cell_length_a 7.967
_cell_length_b 7.967
_cell_length_c 7.259
_cell_angle_alpha 93.16
_cell_angle_beta 93.16
_cell_angle_gamma 116.40
_space_group_name_H-M_alt 'P 1'
_space_group_IT_number 1
_space_group_name_Hall 'P 1'
loop_
_atom_site_label
_atom_site_type_symbol
_atom_site_fract_x
_atom_site_fract_y
_atom_site_fract_z
_atom_site_occupancy
Na1 Na 0.193 0.807 0.000 1
Na2 Na 0.247 0.753 0.500 1
Na3 Na 0.398 0.398 0.151 1
Na4 Na 0.602 0.602 0.849 1
Na5 Na 0.753 0.247 0.500 1
Na6 Na 0.807 0.193 0.000 1
Sn1 Sn 0.192 0.192 0.606 1
Sn2 Sn 0.808 0.808 0.394 1
Se1 Se 0.066 0.066 0.186 1
Se2 Se 0.179 0.486 0.774 1
Se3 Se 0.486 0.179 0.774 1
Se4 Se 0.514 0.821 0.226 1
Se5 Se 0.821 0.514 0.226 1
Se6 Se 0.934 0.934 0.814 1
# Uncorrected energy, eV per cell: -47.61
# Crystal system: monoclinic
# SG: C2/m
# Formation energy (no corrections), eV/atom: -0.7701

---

# PBE NaSnSe2, relaxed
data_NaSnSe2
_chemical_formula_sum 'Na1 Sn1 Se2'
_cell_length_a 5.034
_cell_length_b 4.125
_cell_length_c 6.192
_cell_angle_alpha 90.00
_cell_angle_beta 90.05
_cell_angle_gamma 90.00
_space_group_name_H-M_alt 'P 1'
_space_group_IT_number 1
_space_group_name_Hall 'P 1'
loop_
_atom_site_label
_atom_site_type_symbol
_atom_site_fract_x
_atom_site_fract_y
_atom_site_fract_z
_atom_site_occupancy
Na1 Na 0.000 0.000 0.000 1
Sn1 Sn 0.499 0.500 0.486 1
Se1 Se 0.500 0.000 0.767 1
Se2 Se 0.999 0.500 0.329 1
# Uncorrected energy, eV per cell: -14.92
# Crystal system: monoclinic
# SG: Pm
# Formation energy (no corrections), eV/atom: -0.6565

---

# PBE Na2Sn2Se3, relaxed
data_Na2Sn2Se3
_chemical_formula_sum 'Na2 Sn2 Se3'
_cell_length_a 7.535
_cell_length_b 7.535
_cell_length_c 7.404
_cell_angle_alpha 108.03
_cell_angle_beta 108.03
_cell_angle_gamma 34.16
_space_group_name_H-M_alt 'P 1'
_space_group_IT_number 1
_space_group_name_Hall 'P 1'
loop_
_atom_site_label
_atom_site_type_symbol
_atom_site_fract_x
_atom_site_fract_y
_atom_site_fract_z
_atom_site_occupancy
Na1 Na 0.160 0.160 0.344 1
Na2 Na 0.840 0.840 0.656 1
Sn1 Sn 0.381 0.381 0.108 1
Sn2 Sn 0.619 0.619 0.892 1
Se1 Se 0.000 0.000 0.000 1
Se2 Se 0.237 0.237 0.763 1
Se3 Se 0.763 0.763 0.237 1
# Uncorrected energy, eV per cell: -25.83
# Excess energy over the best structure of this formula in the dataset, kJ per mole of atoms: 0.0
# Crystal system: monoclinic
# SG: C2/m
# Formation energy (no corrections), eV/atom: -0.6757